(1)
# LiPr3Pb5

An optimized crystal structure of LiPr3Pb5 (PBE, Alexandria).

Computed properties:
DFT formation energy, kJ per mole of atoms: -40.0
Symmetry: P6_3/mcm

The structure in POSCAR format:
```
LiPr3Pb5
1.0
9.648 0.000 0.000
-4.824 8.355 0.000
0.000 0.000 6.533
Li Pr Pb
2 6 10
direct
0.000 0.000 0.000
0.000 0.000 0.500
0.000 0.381 0.250
0.000 0.619 0.750
0.381 0.000 0.250
0.381 0.381 0.750
0.619 0.000 0.750
0.619 0.619 0.250
0.000 0.268 0.750
0.000 0.732 0.250
0.268 0.000 0.750
0.268 0.268 0.250
0.333 0.667 0.000
0.333 0.667 0.500
0.667 0.333 0.000
0.667 0.333 0.500
0.732 0.000 0.250
0.732 0.732 0.750
```



(2)
# YHfIr

An optimized crystal structure of YHfIr (PBE, Alexandria).

Computed properties:
DFT formation energy, kJ per mole of atoms: -70.3
Energy above the lowest structure with this stoichiometry, meV per atom: 0
Symmetry: P4/nmm

The structure in POSCAR format:
```
YHfIr
1.0
4.536 0.000 0.000
0.000 4.536 0.000
0.000 0.000 6.775
Y Hf Ir
2 2 2
direct
0.250 0.250 0.133
0.750 0.750 0.867
0.250 0.750 0.500
0.750 0.250 0.500
0.250 0.250 0.712
0.750 0.750 0.288
```



(3)
# BaTc2

An optimized crystal structure of BaTc2 (PBE, Alexandria).

Computed properties:
DFT formation energy, kJ per mole of atoms: 52.8
Energy above the lowest structure with this stoichiometry, meV per atom: 141
Symmetry: P6_3/mmc

The structure in POSCAR format:
```
BaTc2
1.0
4.107 0.000 0.000
-2.053 3.556 0.000
0.000 0.000 10.988
Ba Tc
2 4
direct
0.000 0.000 0.250
0.000 0.000 0.750
0.333 0.667 0.011
0.333 0.667 0.489
0.667 0.333 0.511
0.667 0.333 0.989
```



(4)
# Ba2CuAgBi

An optimized crystal structure of Ba2CuAgBi (PBE, Alexandria).

Computed properties:
DFT formation energy, kJ per mole of atoms: -15.1
Symmetry: P4/mmm

The structure in POSCAR format:
```
Ba2CuAgBi
1.0
6.279 0.000 0.000
0.000 6.279 0.000
0.000 0.000 4.948
Ba Cu Ag Bi
2 1 1 1
direct
0.000 0.500 0.000
0.500 0.000 0.000
0.000 0.000 0.000
0.500 0.500 0.500
0.000 0.000 0.500
```



(5)
# PmZn4Sb

An optimized crystal structure of PmZn4Sb (PBE, Alexandria).

Computed properties:
Formation energy without anion corrections, kcal/mol of atoms: -3.52
Symmetry: F-43m

The structure in POSCAR format:
```
PmZn4Sb
1.0
0.000 3.919 3.919
3.919 0.000 3.919
3.919 3.919 0.000
Pm Zn Sb
1 4 1
direct
0.000 0.000 0.000
0.375 0.375 0.375
0.375 0.375 0.876
0.375 0.876 0.375
0.876 0.375 0.375
0.750 0.750 0.750
```



(6)
# TlMo3Pb

An optimized crystal structure of TlMo3Pb (PBE, Alexandria).

Computed properties:
DFT formation energy, kJ per mole of atoms: 233.2
Energy above the lowest structure with this stoichiometry, meV per atom: 0
Symmetry: Pm-3m

The structure in POSCAR format:
```
TlMo3Pb
1.0
5.036 0.000 0.000
0.000 5.036 0.000
0.000 0.000 5.036
Tl Mo Pb
1 3 1
direct
0.000 0.000 0.000
0.000 0.500 0.500
0.500 0.000 0.500
0.500 0.500 0.000
0.500 0.500 0.500
```



Number 1: D(E_F) 0.531 states/eV per atom, M_tot 0.00 μB per formula unit. Number 2: D(E_F) 1.245 states/eV per atom, M_tot 0.00 μB per formula unit. Number 3: D(E_F) 0.608 states/eV per atom, M_tot 0.00 μB per formula unit. Number 4: D(E_F) 0.491 states/eV per atom, M_tot 0.00 μB per formula unit. Number 5: D(E_F) 0.426 states/eV per atom, M_tot 0.00 μB per formula unit. Number 6: D(E_F) 1.193 states/eV per atom, M_tot 0.00 μB per formula unit.